# Ac2Si2Ir (PBE, optimized geometry)
# Relative energy among the computed polymorphs = 0.152 eV/atom
# E_form (uncorrected) = -0.596 eV/atom
# Size of the total moment = 0.0 μB per formula unit
# Space group = No. 38
data_Ac2Si2Ir
_space_group_name_H-M_alt 'P 1'
_space_group_IT_number 1
_space_group_name_Hall 'P 1'
_cell_length_a 4.427
_cell_length_b 4.225
_cell_length_c 13.286
_cell_angle_alpha 90.00
_cell_angle_beta 90.00
_cell_angle_gamma 90.00
loop_
_atom_site_label
_atom_site_type_symbol
_atom_site_fract_x
_atom_site_fract_y
_atom_site_fract_z
Ac1 Ac 0.000 0.000 0.000
Ac2 Ac 0.000 0.000 0.252
Ac3 Ac 0.000 0.500 0.500
Ac4 Ac 0.000 0.500 0.752
Si1 Si 0.500 0.000 0.425
Si2 Si 0.500 0.000 0.630
Si3 Si 0.500 0.500 0.130
Si4 Si 0.500 0.500 0.925
Ir1 Ir 0.500 0.000 0.825
Ir2 Ir 0.500 0.500 0.325